(1)
The following is a PBE-GGA calculation of crystalline LiPr3Tl3 at its relaxed geometry, from Alexandria.

The space group is C2/m (No. 12) and the conventional cell measures 11.695, 4.778 and 15.749 Å, with angles of 90.00, 109.47 and 90.00 degrees. Symmetry generates all atoms from Li at (0.243, 0.000, 0.402), Pr at (0.039, 0.500, 0.385), Pr at (0.093, 0.500, 0.918), Pr at (0.243, 0.500, 0.224), Tl at (0.034, 0.000, 0.239), Tl at (0.126, 0.000, 0.072) and Tl at (0.136, 0.000, 0.554).

As for the energy above the most stable polymorph in this dataset: 0.000 eV/f.u. The value obtained for the volume is 830 Å³ per cell. As for the total moment: 0.00 μB/cell.


(2)
The following is a PBE-GGA calculation of crystalline LiPr8Tl6 at its relaxed geometry, from Alexandria.

The space group is R-3 (No. 148, hexagonal axes) and the conventional cell measures 9.3457, 9.3457 and 19.9412 Å, with angles of 90.00, 90.00 and 120.00 degrees. Symmetry generates all atoms from Li at (0.0000, 0.0000, 0.0000), Pr at (0.0000, 0.0000, 0.3368), Pr at (0.0016, 0.3270, 0.1116) and Tl at (0.0027, 0.3227, 0.9450).

The value obtained for the volume is 1508 Å³ per cell. The total energy is -3.783 eV per atom. As for the total moment: 0.01 μB/cell.


(3)
The following is a PBE-GGA calculation of crystalline Li15Pr6Tl8 at its relaxed geometry, from Alexandria.

The space group is Fm-3m (No. 225) and the conventional cell measures 13.918, 13.918 and 13.918 Å, with angles of 90.00, 90.00 and 90.00 degrees. Symmetry generates all atoms from Li at (0.000, 0.000, 0.000), Li at (0.000, 0.250, 0.250), Li at (0.174, 0.174, 0.326), Pr at (0.000, 0.000, 0.294) and Tl at (0.125, 0.125, 0.125).

The value obtained for the volume is 2696 Å³ per cell. The total energy is -2.806 eV per atom. As for the total moment: 8.68 μB/cell.


(4)
The following is a PBE-GGA calculation of crystalline Li3PrTl2 at its relaxed geometry, from Alexandria.

The space group is C2/m (No. 12) and the conventional cell measures 14.783, 4.708 and 9.237 Å, with angles of 90.00, 120.28 and 90.00 degrees. Symmetry generates all atoms from Li at (0.053, 0.000, 0.396), Li at (0.093, 0.500, 0.679), Li at (0.244, 0.500, 0.570), Pr at (0.131, 0.000, 0.005), Tl at (0.061, 0.500, 0.214) and Tl at (0.212, 0.000, 0.737).

The value obtained for the volume is 555 Å³ per cell. The total energy is -2.802 eV per atom. As for the total moment: 0.00 μB/cell.


(5)
The following is a PBE-GGA calculation of crystalline LiPr2Tl2 at its relaxed geometry, from Alexandria.

The space group is C2/m (No. 12) and the conventional cell measures 11.452, 4.845 and 11.558 Å, with angles of 90.00, 117.05 and 90.00 degrees. Symmetry generates all atoms from Li at (0.222, 0.000, 0.358), Pr at (0.017, 0.500, 0.336), Pr at (0.177, 0.500, 0.098), Tl at (0.025, 0.000, 0.875) and Tl at (0.148, 0.000, 0.580).

As for the energy above the most stable polymorph in this dataset: 0.000 eV/f.u. The value obtained for the volume is 571 Å³ per cell. As for the total moment: 0.00 μB/cell.


(6)
The following is a PBE-GGA calculation of crystalline Li2Pr3Tl5 at its relaxed geometry, from Alexandria.

The space group is P4/mbm (No. 127) and the conventional cell measures 10.963, 10.963 and 4.386 Å, with angles of 90.00, 90.00 and 90.00 degrees. Symmetry generates all atoms from Li at (0.120, 0.380, 0.000), Pr at (0.000, 0.000, 0.000), Pr at (0.173, 0.673, 0.000), Tl at (0.000, 0.500, 0.500) and Tl at (0.075, 0.214, 0.500).

The value obtained for the volume is 527 Å³ per cell. The total energy is -3.313 eV per atom. As for the total moment: 0.00 μB/cell.


Question: Which value of total moment does entry 4 give?
Answer: 0.00 μB/cell